Mg2ZnIr (PBEsol, optimized geometry); total moment = 0.000 μB per cell; calculated formation energy = -258.6 meV/atom
1.0
-1.9562 1.9562 4.0154
1.9562 -1.9562 4.0154
1.9562 1.9562 -4.0154
Mg Zn Ir
2 1 1
Cartesian
0.0000 0.0000 0.0000 Mg
0.0000 1.9562 2.0077 Mg
0.0000 0.0000 4.0154 Zn
1.9562 0.0000 2.0077 Ir

---

CaLa3Si8 (PBEsol, optimized geometry); total moment = 0.000 μB per cell; total energy = -71.971 eV/cell
1.0
4.3155 0.0000 0.0000
0.0000 4.3155 0.0000
0.0000 0.0000 13.4661
Ca La Si
1 3 8
Cartesian
0.0000 0.0000 0.0000 Ca
0.0000 2.1578 10.1295 La
2.1578 0.0000 3.3366 La
2.1578 2.1578 6.7330 La
0.0000 0.0000 5.5737 Si
0.0000 0.0000 7.8924 Si
0.0000 2.1578 2.1918 Si
0.0000 2.1578 4.5068 Si
2.1578 0.0000 8.9593 Si
2.1578 0.0000 11.2742 Si
2.1578 2.1578 1.1517 Si
2.1578 2.1578 12.3143 Si

---

Zn2CuPt (PBEsol, optimized geometry); total moment = 0.000 μB per cell; calculated formation energy = -333.0 meV/atom
1.0
-1.8310 1.8310 3.9576
1.8310 -1.8310 3.9576
1.8310 1.8310 -3.9576
Zn Cu Pt
2 1 1
Cartesian
0.0000 0.0000 0.0000 Zn
0.0000 1.8310 1.9788 Zn
0.0000 0.0000 3.9576 Cu
1.8310 0.0000 1.9788 Pt

---

AcGaO3 (PBEsol, optimized geometry); total moment = 0.000 μB per cell; total energy = -37.253 eV/cell
1.0
3.9282 0.0000 0.0000
0.0000 3.9282 0.0000
0.0000 0.0000 3.9282
Ac Ga O
1 1 3
Cartesian
0.0000 0.0000 0.0000 Ac
1.9641 1.9641 1.9641 Ga
0.0000 1.9641 1.9641 O
1.9641 0.0000 1.9641 O
1.9641 1.9641 0.0000 O

---

TcIr3 (PBEsol, optimized geometry); total moment = 0.000 μB per cell; calculated formation energy = -130.5 meV/atom
1.0
2.6945 0.0000 0.0000
0.0000 3.8348 0.0000
0.0000 0.0000 5.4139
Tc Ir
1 3
Cartesian
0.0000 0.0000 0.0000 Tc
0.0000 0.0000 2.7069 Ir
1.3473 1.9174 1.3376 Ir
1.3473 1.9174 4.0762 Ir

---

CaOsS2 (PBEsol, optimized geometry); total moment = 0.000 μB per cell; total energy = -24.281 eV/cell
1.0
1.8510 1.0687 7.4808
-1.8510 1.0687 7.4808
0.0000 -2.1374 7.4808
Ca Os S
1 1 2
Cartesian
0.0000 0.0000 0.0000 Ca
0.0000 0.0000 11.2212 Os
0.0000 0.0000 2.6783 S
0.0000 0.0000 19.7641 S

---

Ni2BiBP2O10 (PBEsol, optimized geometry); total moment = 8.063 μB per cell; total energy = -231.379 eV/cell
1.0
5.0111 0.0000 0.0000
0.0000 11.1905 0.0000
-1.8063 0.0000 6.0261
Ni Bi B P O
4 2 2 4 20
Cartesian
0.4589 1.1980 0.9901 Ni
0.4589 4.3973 0.9901 Ni
2.7459 6.7932 5.0360 Ni
2.7459 9.9925 5.0360 Ni
0.2661 8.3929 3.3323 Bi
2.9387 2.7976 2.6938 Bi
2.1505 8.3929 0.0878 B
1.0544 2.7976 5.9383 B
0.1806 0.7130 4.2960 P
0.1806 4.8822 4.2960 P
3.0243 6.3083 1.7301 P
3.0243 10.4775 1.7301 P
-1.1288 0.5576 5.1004 O
-1.1288 5.0377 5.1004 O
-0.1641 1.4009 2.9448 O
-0.1641 4.1944 2.9448 O
-0.8307 8.3929 5.2172 O
1.6478 2.7976 0.7568 O
0.9405 6.1976 4.0974 O
0.9405 10.5881 4.0974 O
2.0328 7.2086 0.9472 O
2.0328 9.5771 0.9472 O
1.1720 1.6134 5.0789 O
1.1720 3.9819 5.0789 O
2.2643 0.6024 1.9286 O
2.2643 4.9929 1.9286 O
1.5570 8.3929 5.2693 O
4.0356 2.7976 0.8089 O
3.3690 6.9961 3.0813 O
3.3690 9.7896 3.0813 O
4.3337 6.1528 0.9257 O
4.3337 10.6329 0.9257 O

---

CrRu3O (PBEsol, optimized geometry); total moment = 4.701 μB per cell; total energy = -35.947 eV/cell
1.0
4.3515 0.0000 0.0000
0.0000 4.3515 0.0000
0.0000 0.0000 4.3515
Cr Ru O
1 3 1
Cartesian
0.0000 0.0000 0.0000 Cr
0.0000 0.0000 2.1757 Ru
0.0000 2.1757 0.0000 Ru
2.1757 0.0000 0.0000 Ru
2.1757 2.1757 2.1757 O